No. 1
DFT (PBE) results for an optimized crystal structure of LiLaCl2.

a b c (Å): 4.7393 4.7393 8.0116
angles (deg): 90.00 90.00 90.00
Space group I4/mmm (No. 139)
One atom of each set of equivalent atoms:
1 Li 0.0000 0.0000 0.0000 (multiplicity 2)
2 La 0.0000 0.0000 0.5000 (multiplicity 2)
3 Cl 0.0000 0.5000 0.2500 (multiplicity 4)

Properties
- DFT total energy (eV/atom) = -3.88
- E_form (uncorrected) (meV per atom) = -1242
- E above lowest polymorph (meV per atom) = 428

***

No. 2
DFT (PBE) results for an optimized crystal structure of NaSr2Pm.

a b c (Å): 3.8381 3.8381 41.9418
angles (deg): 90.00 90.00 120.00
Space group R-3m (No. 166, hexagonal axes)
One atom of each set of equivalent atoms:
1 Na 0.0000 0.0000 0.0000 (multiplicity 3)
2 Sr 0.0000 0.0000 0.4133 (multiplicity 6)
3 Pm 0.0000 0.0000 0.5000 (multiplicity 3)

Properties
- DFT total energy (eV/atom) = -2.06
- E above lowest polymorph (meV per atom) = 184
- E_form (eV/atom) = 0.30

***

No. 3
DFT (PBE) results for an optimized crystal structure of Nd2Th2Ag.

a b c (Å): 3.6398 3.6398 22.9233
angles (deg): 90.00 90.00 90.00
Space group I4/mmm (No. 139)
One atom of each set of equivalent atoms:
1 Nd 0.0000 0.0000 0.0873 (multiplicity 4)
2 Th 0.0000 0.0000 0.3018 (multiplicity 4)
3 Ag 0.0000 0.0000 0.5000 (multiplicity 2)

Properties
- DFT total energy (eV/atom) = -5.53
- E_form (eV/atom) = -0.09

***

No. 4
DFT (PBE) results for an optimized crystal structure of MgNbIn2Sn.

a b c (Å): 5.5659 5.5659 5.4024
angles (deg): 90.00 90.00 90.00
Space group P4/mmm (No. 123)
One atom of each set of equivalent atoms:
1 Mg 0.0000 0.0000 0.0000 (multiplicity 1)
2 Nb 0.5000 0.5000 0.0000 (multiplicity 1)
3 In 0.0000 0.5000 0.5000 (multiplicity 2)
4 Sn 0.5000 0.5000 0.5000 (multiplicity 1)

Properties
- DFT total energy (eV/atom) = -3.24
- E_form (eV/atom) = 0.99

***

No. 5
DFT (PBE) results for an optimized crystal structure of CaGaSn3.

a b c (Å): 5.7657 5.7657 5.7657
angles (deg): 90.00 90.00 90.00
Space group Pm-3m (No. 221)
One atom of each set of equivalent atoms:
1 Ca 0.0000 0.0000 0.0000 (multiplicity 1)
2 Ga 0.5000 0.5000 0.5000 (multiplicity 1)
3 Sn 0.0000 0.0000 0.5000 (multiplicity 3)

Properties
- DFT total energy (eV/atom) = -2.75
- E above lowest polymorph (meV per atom) = 574
- E_form (eV/atom) = 0.65

***

No. 6
DFT (PBE) results for an optimized crystal structure of Tl2CoPS.

a b c (Å): 5.4201 5.4201 4.2104
angles (deg): 90.00 90.00 90.00
Space group P4/mmm (No. 123)
One atom of each set of equivalent atoms:
1 Tl 0.0000 0.5000 0.0000 (multiplicity 2)
2 Co 0.0000 0.0000 0.5000 (multiplicity 1)
3 P 0.0000 0.0000 0.0000 (multiplicity 1)
4 S 0.5000 0.5000 0.5000 (multiplicity 1)

Properties
- DFT total energy (eV/atom) = -3.89
- E_form (uncorrected) (meV per atom) = 388